Below is a relaxed structure of CsAg2BiF6, with properties calculated at the PBE-GGA level.

formation energy without anion corrections	-19.323	eV per formula unit
magnetization	0.0	μB per formula unit

Cell: 6.7051 6.7929 9.1147 Å, 90.00 89.19 90.00°
Last column: nearest neighbours and their distance in Å.
Element x y z (fractional)
F 0.3885 0.7510 0.3534  1 Bi 2.29, 1 Ag 2.32
F 0.6115 0.2490 0.6466  1 Bi 2.29, 1 Ag 2.32
F 0.8143 0.8791 0.5150  1 Bi 2.27, 2 Ag 2.48-2.51
F 0.6857 0.3791 0.9850  1 Bi 2.27, 2 Ag 2.48-2.51
F 0.8885 0.7490 0.8534  1 Bi 2.29, 1 Ag 2.32
F 0.1213 0.3239 0.8024  1 Bi 2.30, 1 Ag 2.37
F 0.3143 0.6209 0.0150  1 Bi 2.27, 2 Ag 2.48-2.51
F 0.3787 0.8239 0.6976  1 Bi 2.30, 1 Ag 2.37
F 0.1857 0.1209 0.4850  1 Bi 2.27, 2 Ag 2.48-2.51
F 0.8787 0.6761 0.1976  1 Bi 2.30, 1 Ag 2.37
F 0.1115 0.2510 0.1466  1 Bi 2.29, 1 Ag 2.32
F 0.6213 0.1761 0.3024  1 Bi 2.30, 1 Ag 2.37
Bi 0.0000 0.5000 0.0000  6 F 2.27-2.30
Bi 0.5000 0.0000 0.5000  6 F 2.27-2.30
Ag 0.4827 0.5101 0.7819  4 F 2.32-2.51
Ag 0.9827 0.9899 0.2819  4 F 2.32-2.51
Ag 0.5173 0.4899 0.2181  4 F 2.32-2.51
Ag 0.0173 0.0101 0.7181  4 F 2.32-2.51
Cs 0.0000 0.5000 0.5000  4 F 2.86-3.12
Cs 0.5000 0.0000 0.0000  4 F 2.86-3.12